No. 1
VRu3Se: optimized geometry, PBE-GGA.

abc: 4.490 4.490 4.490
angles: 90.00 90.00 90.00
Element x y z (fractional)
1 V 0.000 0.000 0.000
2 Ru 0.000 0.500 0.500
3 Ru 0.500 0.000 0.500
4 Ru 0.500 0.500 0.000
5 Se 0.500 0.500 0.500

Summary:
The energy above the lowest structure with this stoichiometry comes out at 0.0 meV per atom. The value obtained for the total energy is -7.055 eV per atom.

---

No. 2
VRuSe2: optimized geometry, PBE-GGA.

abc: 7.064 3.267 7.928
angles: 90.00 115.17 90.00
Element x y z (fractional)
1 V 0.000 0.000 0.000
2 V 0.362 0.500 0.140
3 Ru 0.334 0.000 0.908
4 Ru 0.690 0.500 0.061
5 Se 0.037 0.500 0.763
6 Se 0.087 0.500 0.260
7 Se 0.625 0.000 0.806
8 Se 0.651 0.000 0.317

Summary:
The energy above the lowest structure with this stoichiometry comes out at 0.0 meV per atom. The value obtained for the total energy is -6.774 eV per atom.

---

No. 3
VRuSe2: optimized geometry, PBE-GGA.

abc: 4.324 5.947 7.040
angles: 81.25 88.68 89.32
Element x y z (fractional)
1 V 0.000 0.000 0.000
2 V 0.492 0.667 0.080
3 Ru 0.422 0.163 0.096
4 Ru 0.926 0.489 0.001
5 Se 0.203 0.409 0.315
6 Se 0.209 0.766 0.775
7 Se 0.694 0.259 0.780
8 Se 0.725 0.886 0.308

Summary:
The energy above the lowest structure with this stoichiometry comes out at 26.0 meV per atom. The value obtained for the total energy is -6.748 eV per atom.

---

No. 4
VRuSe4: optimized geometry, PBE-GGA.

abc: 7.271 7.271 5.870
angles: 101.11 101.11 26.32
Element x y z (fractional)
1 V 0.000 0.000 0.000
2 Ru 0.509 0.509 0.398
3 Se 0.133 0.133 0.327
4 Se 0.378 0.378 0.049
5 Se 0.602 0.602 0.819
6 Se 0.907 0.907 0.574

Summary:
The energy above the lowest structure with this stoichiometry comes out at 0.0 meV per atom. The value obtained for the total energy is -5.927 eV per atom.

---

No. 5
VRuSe2: optimized geometry, PBE-GGA.

abc: 8.336 8.336 8.336
angles: 21.38 21.38 21.38
Element x y z (fractional)
1 V 0.000 0.000 0.000
2 Ru 0.500 0.500 0.500
3 Se 0.403 0.403 0.403
4 Se 0.597 0.597 0.597

Summary:
The energy above the lowest structure with this stoichiometry comes out at 351.4 meV per atom. The value obtained for the total energy is -6.422 eV per atom.

---

No. 6
VRuSe: optimized geometry, PBE-GGA.

abc: 4.770 4.770 7.566
angles: 114.22 114.22 38.34
Element x y z (fractional)
1 V 0.115 0.115 0.455
2 V 0.885 0.885 0.545
3 Ru 0.399 0.399 0.811
4 Ru 0.601 0.601 0.189
5 Se 0.343 0.343 0.249
6 Se 0.657 0.657 0.751

Summary:
The value obtained for the total energy is -7.300 eV per atom.

---

No. 7
VRu3Se: optimized geometry, PBE-GGA.

abc: 4.487 4.487 4.487
angles: 90.00 90.00 90.00
Element x y z (fractional)
1 V 0.000 0.000 0.000
2 Ru 0.000 0.000 0.500
3 Ru 0.000 0.500 0.000
4 Ru 0.500 0.000 0.000
5 Se 0.500 0.500 0.500

Summary:
The energy above the lowest structure with this stoichiometry comes out at 250.6 meV per atom. The value obtained for the total energy is -6.804 eV per atom.

---

No. 8
V2RuSe6: optimized geometry, PBE-GGA.

abc: 5.923 5.923 10.670
angles: 90.00 90.00 90.00
Element x y z (fractional)
1 V 0.000 0.000 0.151
2 V 0.000 0.000 0.849
3 V 0.500 0.500 0.349
4 V 0.500 0.500 0.651
5 Ru 0.000 0.000 0.500
6 Ru 0.500 0.500 0.000
7 Se 0.198 0.198 0.327
8 Se 0.198 0.198 0.673
9 Se 0.209 0.209 0.000
10 Se 0.291 0.709 0.500
11 Se 0.302 0.698 0.173
12 Se 0.302 0.698 0.827
13 Se 0.698 0.302 0.173
14 Se 0.698 0.302 0.827
15 Se 0.709 0.291 0.500
16 Se 0.791 0.791 0.000
17 Se 0.802 0.802 0.327
18 Se 0.802 0.802 0.673

Summary:
The value obtained for the total energy is -5.771 eV per atom.

---

No. 9
RuW2Se: optimized geometry, PBE-GGA.

abc: 2.834 2.834 8.666
angles: 90.00 90.00 110.93
Element x y z (fractional)
1 Ru 0.000 0.000 0.000
2 W 0.000 0.000 0.516
3 W 0.500 0.500 0.767
4 Se 0.500 0.500 0.264

Summary:
The value obtained for the total energy is -9.198 eV per atom.

---

No. 10
RuWSe2: optimized geometry, PBE-GGA.

abc: 2.986 2.986 8.239
angles: 90.00 90.00 90.00
Element x y z (fractional)
1 Ru 0.000 0.000 0.000
2 W 0.500 0.500 0.761
3 Se 0.000 0.000 0.576
4 Se 0.500 0.500 0.178

Summary:
The energy above the lowest structure with this stoichiometry comes out at 13.3 meV per atom. The value obtained for the total energy is -7.317 eV per atom.

---

No. 11
RuW2Se: optimized geometry, PBE-GGA.

abc: 4.478 4.478 4.478
angles: 60.00 60.00 60.00
Element x y z (fractional)
1 Ru 0.000 0.000 0.000
2 W 0.500 0.500 0.500
3 W 0.750 0.750 0.750
4 Se 0.250 0.250 0.250

Summary:
The value obtained for the total energy is -9.047 eV per atom.

---

No. 12
RuW2Se: optimized geometry, PBE-GGA.

abc: 5.029 5.029 5.029
angles: 135.04 135.04 65.46
Element x y z (fractional)
1 Ru 0.000 0.000 0.000
2 W 0.500 0.500 0.000
3 W 0.750 0.250 0.500
4 Se 0.250 0.750 0.500

Summary:
The value obtained for the total energy is -9.010 eV per atom.

---

| no. | uncorrected formation energy (eV per atom) | spin magnetization (μB per formula unit) | volume (Å³/cell) |
| --- | --- | --- | --- |
| 1 | 1.03 | 1.5 | 91 |
| 2 | -0.43 | 0.0 | 166 |
| 3 | -0.41 | 0.0 | 179 |
| 4 | -0.54 | 0.8 | 135 |
| 5 | -0.08 | 0.0 | 67 |
| 6 | -0.01 | 0.0 | 96 |
| 7 | 1.28 | 1.1 | 90 |
| 8 | -0.39 | 0.4 | 374 |
| 9 | 0.47 | 0.0 | 65 |
| 10 | -0.02 | 0.0 | 73 |
| 11 | 0.62 | 0.0 | 63 |
| 12 | 0.66 | 0.0 | 63 |